(1)
VASP calculation (PBE) on a geometry-optimized LiSc2Os structure.

Geometry as POSCAR:
```
LiSc2Os
1.0
-9.4933 3.1650 -1.6819
-8.7655 5.0645 0.6962
-7.9847 5.8514 -2.2303
Os Sc Li
1 2 1
Direct
0.5000 0.5000 0.5000
0.0996 0.0996 0.0996
0.9004 0.9004 0.9004
0.0000 0.0000 0.0000
```

Output
ΔE_f: 0.08 eV per atom
Symmetry: R-3m
Offset from the most stable computed form: 0.4075 eV per atom

(2)
VASP calculation (PBE) on a geometry-optimized K2Tl4CdAu3 structure.

Geometry as POSCAR:
```
K2Tl4CdAu3
1.0
-0.6208 -5.1811 -0.8799
5.2221 -0.7075 0.4820
-1.2107 -1.6672 10.6710
Tl Cd K Au
4 1 2 3
Direct
0.5000 0.5000 0.0000
0.0000 0.0000 0.0000
0.0000 0.5000 0.3755
0.5000 0.0000 0.6245
0.5000 0.5000 0.5000
0.0000 0.5000 0.7451
0.5000 0.0000 0.2549
0.0000 0.0000 0.5000
0.0000 0.5000 0.1149
0.5000 0.0000 0.8851
```

Output
ΔE_f: -0.15 eV per atom
Symmetry: P-4m2

(3)
VASP calculation (PBE) on a geometry-optimized Sr2GaC structure.

Geometry as POSCAR:
```
Sr2GaC
1.0
0.0000 3.6516 3.6516
3.6516 0.0000 3.6516
3.6516 3.6516 0.0000
Ga Sr C
1 2 1
Direct
0.5000 0.5000 0.5000
0.2500 0.2500 0.2500
0.7500 0.7500 0.7500
0.0000 0.0000 0.0000
```

Output
ΔE_f: 0.67 eV per atom
Symmetry: Fm-3m
Offset from the most stable computed form: 0.0310 eV per atom